## NaMnCo2 (GGA-PBE)

Data for a relaxed NaMnCo2 crystal.

abc: 6.638 6.638 5.372
angles: 51.84 51.84 90.00
Positions (direct):
1 Co 0.678 0.125 0.250
2 Co 0.375 0.322 0.750
3 Co 0.875 0.928 0.750
4 Co 0.072 0.625 0.250
5 Mn 0.000 0.000 0.000
6 Mn 0.750 0.250 0.500
7 Na 0.500 0.500 0.000
8 Na 0.250 0.750 0.500

The calculation puts the total DFT energy (no corrections) at -5.210 eV per atom. The formation energy comes out at 965 meV/atom. For the energy above the most stable polymorph in this dataset, the calculation gives 83 kJ/mol of formula units.